Entry 1:
GGA-PBE Mn2CrCo, optimized geometry; space-group type = Cm, No. 8; energy relative to the elements = 10 kJ/mol of atoms
1.0
4.3251 -0.0041 0.0194
3.6076 2.3857 0.0194
0.6912 0.2075 4.2656
Co Mn Cr
1 2 1
Direct
0.4982 0.4982 0.4929
0.0029 0.0029 0.9884
0.7522 0.7522 0.7557
0.2466 0.2466 0.2630


Entry 2:
GGA-PBE MnCr2Co, optimized geometry; space-group type = I4/mmm, No. 139; energy relative to the elements = 10 kJ/mol of atoms
1.0
-2.4756 -3.6030 -0.2459
2.4868 -3.5173 -0.7842
0.2669 3.2053 2.9707
Mn Cr Co
1 2 1
Direct
0.2500 0.7500 0.5000
0.0000 0.0000 0.0000
0.5000 0.5000 0.0000
0.7500 0.2500 0.5000


Entry 3:
GGA-PBE Mn2CrCo, optimized geometry; space-group type = Pm, No. 6; energy relative to the elements = 12 kJ/mol of atoms
1.0
3.9786 0.0000 0.0000
0.0000 2.4717 -0.0033
0.0000 0.9922 4.6335
Mn Co Cr
2 1 1
Direct
0.5000 0.2602 0.2550
0.0000 0.9735 0.9960
0.0000 0.4995 0.4946
0.5000 0.7668 0.7543


Entry 4:
GGA-PBE Mn2CrCo, optimized geometry; space-group type = R3m, No. 160; energy relative to the elements = 12 kJ/mol of atoms
1.0
8.3323 0.0067 0.0039
7.9609 2.4600 0.0039
7.9609 1.2052 2.1445
Cr Mn Co
1 2 1
Direct
0.7508 0.7508 0.7508
0.2514 0.2514 0.2514
0.9973 0.9973 0.9973
0.5005 0.5005 0.5005


Entry 5:
GGA-PBE MnCr2Co2, optimized geometry; space-group type = P4/mbm, No. 127; energy relative to the elements = 29 kJ/mol of atoms
1.0
-3.6862 3.1854 4.7240
-0.3006 -5.7273 3.6274
2.0653 0.6393 1.1805
Cr Co Mn
4 4 2
Direct
0.3784 0.8784 0.0000
0.1216 0.3784 0.0000
0.6216 0.1216 0.0000
0.8784 0.6216 0.0000
0.1748 0.6748 0.5000
0.3252 0.1748 0.5000
0.8252 0.3252 0.5000
0.6748 0.8252 0.5000
0.5000 0.5000 0.0000
0.0000 0.0000 0.0000


Entry 6:
GGA-PBE Mn2CrCo, optimized geometry; space-group type = C2/m, No. 12; energy relative to the elements = 12 kJ/mol of atoms
1.0
-2.4611 3.8914 1.0353
-1.5540 -2.6430 -3.4706
-1.9372 -0.9367 1.1950
Cr Co Mn
1 1 2
Direct
0.5000 0.0000 0.5000
0.5000 0.5000 0.0000
0.0000 0.5000 0.5000
0.0000 0.0000 0.0000